First-principles (PBE) data for a relaxed structure of Tb2CeThSe4, as listed in Alexandria via LeMat-Bulk.

Lattice parameters (Å, degrees): 4.107 7.310 7.108 71.07 90.00 90.00
Last column: magnetic moment on the atom in μB.
Fractional positions:
Th (0.000, 0.500, 0.500)  0.02
Se (0.500, 0.238, 0.755)  0.00
Ce (0.500, 0.500, 0.000)  0.76
Se (0.000, 0.761, 0.747)  -0.01
Se (0.000, 0.239, 0.253)  -0.01
Tb (0.500, 0.000, 0.500)  -0.01
Tb (0.000, 0.000, 0.000)  0.00
Se (0.500, 0.762, 0.245)  0.00

Results
Calculated density, Mg/m³: 8.27
Total moment, μB per cell: 0.9
Crystal system: monoclinic
SG: No. 10
E_tot, Ha/atom: -0.2314

First-principles (PBE) data for a relaxed structure of TbCe4Th3Se8, as listed in Alexandria via LeMat-Bulk.

Lattice parameters (Å, degrees): 8.369 8.381 8.370 119.95 120.00 90.00
Last column: magnetic moment on the atom in μB.
Fractional positions:
Se (0.244, 0.252, 0.998)  -0.01
Th (0.500, 0.500, 0.000)  0.01
Se (0.751, 0.753, 0.502)  -0.01
Th (0.500, 0.500, 0.500)  0.01
Se (0.754, 0.252, 0.507)  -0.01
Th (0.000, 0.500, 0.500)  0.01
Ce (0.000, 0.000, 0.000)  0.71
Ce (0.000, 0.000, 0.500)  0.71
Ce (0.500, 0.000, 0.500)  0.71
Ce (0.500, 0.000, 0.000)  0.81
Se (0.754, 0.252, 0.998)  -0.01
Se (0.756, 0.748, 0.002)  -0.01
Se (0.246, 0.748, 0.002)  -0.01
Se (0.249, 0.247, 0.498)  -0.01
Tb (0.000, 0.500, 0.000)  0.00
Se (0.246, 0.748, 0.493)  -0.01

Results
Calculated density, Mg/m³: 8.18
Total moment, μB per cell: 3.5
Crystal system: trigonal
SG: No. 166
E_tot, Ha/atom: -0.2433

First-principles (PBE) data for a relaxed structure of TbCe2ThSe4, as listed in Alexandria via LeMat-Bulk.

Lattice parameters (Å, degrees): 4.166 7.260 7.212 109.34 90.00 90.00
Last column: magnetic moment on the atom in μB.
Fractional positions:
Ce (0.000, 0.500, 0.500)  0.79
Se (0.500, 0.758, 0.756)  -0.01
Se (0.000, 0.756, 0.248)  -0.01
Ce (0.500, 0.000, 0.500)  0.66
Se (0.500, 0.242, 0.244)  -0.01
Th (0.500, 0.500, 0.000)  0.00
Se (0.000, 0.244, 0.752)  -0.01
Tb (0.000, 0.000, 0.000)  -0.01

Results
Calculated density, Mg/m³: 7.96
Total moment, μB per cell: 1.7
Crystal system: monoclinic
SG: No. 10
E_tot, Ha/atom: -0.2379